{
  "formula": "Rb2PdSI6",
  "functional": "PBE-GGA",
  "state": "relaxed",
  "lattice": [[-4.537, -2.082, 6.357], [-5.279, -3.602, -4.947], [-2.023, -7.709, 1.170]],
  "species": ["I", "I", "I", "I", "I", "I", "S", "Rb", "Rb", "Pd"],
  "fractional_positions": [[0.247, 0.247, 0.506], [0.753, 0.753, 0.494], [0.243, 0.243, 0.000], [0.757, 0.757, 0.000], [0.757, 0.243, 0.000], [0.243, 0.757, 0.000], [0.500, 0.500, 0.000], [0.750, 0.250, 0.500], [0.250, 0.750, 0.500], [0.000, 0.000, 0.000]],
  "volume_a3_per_fu": 371,
  "dft_energy_ev_per_atom": -2.63,
  "e_form_raw_ev_per_atom": -0.57,
  "density_g_cm3": 4.8,
  "dos_at_fermi_per_ev_atom": 0.317
}